1.
This record from the Alexandria database describes a geometry-optimized Mn3Cr structure. The functional is PBE.

The structure in CIF format:
```
data_Mn3Cr
_cell_length_a 2.4950
_cell_length_b 2.4950
_cell_length_c 24.6644
_cell_angle_alpha 90.00
_cell_angle_beta 90.00
_cell_angle_gamma 120.00
_symmetry_space_group_name_H-M 'R -3 m'
_symmetry_Int_Tables_number 166
_symmetry_space_group_name_Hall '-R 3 2"'
loop_
_atom_site_label
_atom_site_type_symbol
_atom_site_fract_x
_atom_site_fract_y
_atom_site_fract_z
_atom_site_occupancy
Mn1 Mn 0.0000 0.0000 0.0000 1
Mn2 Mn 0.0000 0.0000 0.2519 1
Cr1 Cr 0.0000 0.0000 0.5000 1
```



2.
This record from the Alexandria database describes a geometry-optimized Mg2IrPd structure. The functional is PBE.

The structure in CIF format:
```
data_Mg2IrPd
_cell_length_a 5.714
_cell_length_b 7.392
_cell_length_c 2.969
_cell_angle_alpha 90.00
_cell_angle_beta 93.33
_cell_angle_gamma 90.00
_symmetry_space_group_name_H-M 'C 1 2/m 1'
_symmetry_Int_Tables_number 12
loop_
_symmetry_equiv_pos_as_xyz
'x,y,z'
'-x,-y,-z'
'-x,y,-z'
'x,-y,z'
'x+1/2,y+1/2,z'
'-x+1/2,-y+1/2,-z'
'-x+1/2,y+1/2,-z'
'x+1/2,-y+1/2,z'
loop_
_atom_site_label
_atom_site_type_symbol
_atom_site_fract_x
_atom_site_fract_y
_atom_site_fract_z
_atom_site_occupancy
Mg1 Mg 0.250 0.250 0.000 1
Ir1 Ir 0.000 0.000 0.500 1
Pd1 Pd 0.000 0.500 0.500 1
```



3.
This record from the Alexandria database describes a geometry-optimized Cs8AgCl2 structure. The functional is PBE.

The structure in CIF format:
```
data_Cs8AgCl2
_cell_length_a 18.488
_cell_length_b 14.260
_cell_length_c 7.038
_cell_angle_alpha 90.00
_cell_angle_beta 91.71
_cell_angle_gamma 90.00
_symmetry_space_group_name_H-M 'C 1 2/m 1'
_symmetry_Int_Tables_number 12
loop_
_symmetry_equiv_pos_as_xyz
'x,y,z'
'-x,-y,-z'
'-x,y,-z'
'x,-y,z'
'x+1/2,y+1/2,z'
'-x+1/2,-y+1/2,-z'
'-x+1/2,y+1/2,-z'
'x+1/2,-y+1/2,z'
loop_
_atom_site_label
_atom_site_type_symbol
_atom_site_fract_x
_atom_site_fract_y
_atom_site_fract_z
_atom_site_occupancy
Cs1 Cs 0.103 0.196 0.249 1
Cs2 Cs 0.110 0.500 0.756 1
Cs3 Cs 0.192 0.000 0.729 1
Ag1 Ag 0.000 0.000 0.500 1
Cl1 Cl 0.209 0.000 0.222 1
```



Number 1: ρ 8.123 g/cm³, calculated total energy -9.131 eV per atom, M_tot 0.16 μB per atom. Number 2: ρ 9.212 g/cm³, calculated total energy -4.762 eV per atom, M_tot 0.00 μB per atom. Number 3: ρ 2.224 g/cm³, calculated total energy -1.850 eV per atom, M_tot 0.00 μB per atom.